A relaxed structure of MnS5F. Source: the Alexandria database, functional PBE+U.

Computed properties:
- density of states at the Fermi level (states/eV/f.u.) = 0.67
- uncorrected energy (eV/cell) = -33.27
- V (Å³/cell) = 173.0

Unit cell a=5.515 b=4.180 c=8.985 alpha=97.56 beta=113.33 gamma=65.57
Site moments in Bohr magnetons follow the coordinates.
Positions (direct):
Mn (0.703, 0.265, 0.563)  4.59
S (0.041, 0.089, 0.231)  0.00
S (0.092, 0.689, 0.077)  0.00
S (0.349, 0.252, 0.233)  0.00
S (0.406, 0.460, 0.734)  -0.07
S (0.243, 0.024, 0.709)  -0.09
F (0.696, 0.752, 0.515)  0.05